(1)
This record from the Alexandria database describes Ce5PuTe6 after structural relaxation. The functional is PBE-GGA.

Calculated values
symmetry	C2/m, No. 12
ΔE_f (raw)	-30.3	kcal/mol of atoms
magnetization	0.582	μB/atom

a = 7.7270 Å, b = 7.7270 Å, c = 7.8105 Å
α = 99.49°, β = 99.49°, γ = 120.05°
Atoms (fractional coordinates):
Ce 0.0000 0.0000 0.0000
Ce 0.1664 0.8336 0.5000
Ce 0.3321 0.6679 0.0000
Ce 0.6679 0.3321 0.0000
Ce 0.8336 0.1664 0.5000
Pu 0.5000 0.5000 0.5000
Te 0.0876 0.4175 0.2521
Te 0.2533 0.2533 0.7490
Te 0.4175 0.0876 0.2521
Te 0.5825 0.9124 0.7479
Te 0.7467 0.7467 0.2510
Te 0.9124 0.5825 0.7479

---

(2)
This record from the Alexandria database describes Pa2SiCl2 after structural relaxation. The functional is PBE-GGA.

Calculated values
symmetry	R-3m, No. 166
ΔE_f (raw)	-25.4	kcal/mol of atoms
magnetization	0.000	μB/atom

a = 10.4258 Å, b = 10.4258 Å, c = 10.4258 Å
α = 22.18°, β = 22.18°, γ = 22.18°
Atoms (fractional coordinates):
Pa 0.1168 0.1168 0.1168
Pa 0.8832 0.8832 0.8832
Si 0.5000 0.5000 0.5000
Cl 0.2728 0.2728 0.2728
Cl 0.7272 0.7272 0.7272

---

(3)
This record from the Alexandria database describes NdZnPd after structural relaxation. The functional is PBE-GGA.

Calculated values
symmetry	I4mm, No. 107
energy of formation	0.22	eV/atom
magnetization	0.000	μB/atom

a = 7.7797 Å, b = 7.7797 Å, c = 7.7797 Å
α = 157.29°, β = 157.29°, γ = 32.33°
Atoms (fractional coordinates):
Nd 0.0000 0.0000 0.0000
Zn 0.3441 0.3441 0.0000
Pd 0.1791 0.1791 0.0000

---

Question: Which value of magnetization does entry 3 give?
Answer: 0.000 μB/atom